! Hg2MoOs (PBE, relaxed); values from VASP
! - raw total energy (eV for the cell shown) = -19.8
! - ρ (g/cm³) = 15.93
! - formation energy from the elements (eV/atom) = 0.7184
! - distance to the lowest polymorph of the same formula (eV/atom) = 0.387
&SYSTEM
  ibrav = 0, nat = 4, ntyp = 3
/
ATOMIC_SPECIES
Hg 200.59 Hg.upf
Mo 95.94 Mo.upf
Os 190.23 Os.upf
ATOMIC_POSITIONS crystal
Hg 0.0000 0.0000 0.0000
Hg 0.2404 0.2404 0.7576
Mo 0.4855 0.4855 0.4663
Os 0.7525 0.7525 0.2939
CELL_PARAMETERS angstrom
4.6915 -1.4764 0.0000
4.6915 1.4764 0.0000
-0.8251 0.0000 5.1719